7
Lattice="2.3076 -2.3067 0.0000 2.3076 2.3067 0.0000 -2.3025 0.0000 16.2423" Properties=species:S:1:pos:R:3 comment="ErZr2Sc4 | the Alexandria database | PBE-GGA | optimized geometry" relative_energy_ev_per_fu=0.00 final_energy_ev_per_atom=-6.69 delta_e_f_ev_per_atom=0.026 pbc="T T T"
Er 0.0000 0.0000 0.0000
Zr -0.0039 0.0000 4.7138
Zr 2.3166 0.0000 11.5285
Sc 0.0067 0.0000 9.3625
Sc 0.0082 0.0000 13.7338
Sc 2.3045 0.0000 2.5085
Sc 2.3060 0.0000 6.8798

=====

4
Lattice="2.0595 1.1890 6.8593 -2.0595 1.1890 6.8593 0.0000 -2.3781 6.8593" Properties=species:S:1:pos:R:3 comment="ZrScSb2 | the Alexandria database | PBE-GGA | optimized geometry" e_form_raw_ev_per_atom=-0.760 relative_energy_ev_per_fu=0.00 final_energy_ev_per_atom=-6.54 pbc="T T T"
Zr 0.0000 0.0000 0.0000
Sc 0.0000 0.0000 10.2889
Sb 0.0000 0.0000 5.1255
Sb 0.0000 0.0000 15.4523

=====

12
Lattice="3.1229 -5.4097 0.0000 3.1229 5.4097 0.0000 -2.0837 0.0000 11.6974" Properties=species:S:1:pos:R:3 comment="CePm6Y2Ho3 | the Alexandria database | PBE-GGA | optimized geometry" final_energy_ev_per_atom=-5.05 delta_e_f_ev_per_atom=0.038 pbc="T T T"
Ce 0.0000 0.0000 0.0000
Pm 1.0306 1.7905 2.9389
Pm -0.0138 0.0000 8.7583
Pm 1.0306 -1.7905 2.9389
Pm 3.1315 1.7905 8.7585
Pm 4.1759 0.0000 2.9391
Pm 3.1315 -1.7905 8.7585
Y 3.1229 1.8011 0.0000
Y 3.1229 -1.8011 0.0000
Ho 2.0811 3.6007 5.8487
Ho 2.0811 0.0000 5.8487
Ho 2.0811 -3.6007 5.8487

=====

8
Lattice="-4.3366 4.3366 3.2256 4.3366 -4.3366 3.2256 4.3366 4.3366 -3.2256" Properties=species:S:1:pos:R:3 comment="YTl2Pb | the Alexandria database | PBE-GGA | optimized geometry" final_energy_ev_per_atom=-3.79 delta_e_f_ev_per_atom=-0.064 pbc="T T T"
Y 0.0000 0.0000 0.0000
Y 0.0000 4.3366 1.6128
Tl 2.1683 -2.1196 2.4192
Tl 2.2169 2.1683 0.8064
Tl 2.1683 6.4562 -0.8064
Tl 2.1196 2.1683 4.0321
Pb 4.3366 0.0000 1.6128
Pb 0.0000 0.0000 3.2256

=====

4
Lattice="3.4006 0.0000 0.0000 0.0000 3.4308 0.0000 -0.1224 0.0000 7.0260" Properties=species:S:1:pos:R:3 comment="MoPtSe2 | the Alexandria database | PBE-GGA | optimized geometry" e_form_raw_ev_per_atom=-0.083 relative_energy_ev_per_fu=0.21 final_energy_ev_per_atom=-6.04 pbc="T T T"
Mo 0.0000 0.0000 0.0000
Pt 1.5774 1.7154 5.3993
Se 1.6997 1.7154 1.1673
Se 3.2781 0.0000 4.5004

=====

4
Lattice="4.6172 0.0000 0.0000 0.0000 4.6172 0.0000 0.0000 0.0000 4.0103" Properties=species:S:1:pos:R:3 comment="FeBrCl2 | the Alexandria database | PBE-GGA | optimized geometry" e_form_raw_ev_per_atom=0.538 relative_energy_ev_per_fu=4.68 final_energy_ev_per_atom=-2.92 pbc="T T T"
Fe 0.0000 0.0000 0.0000
Br 2.3086 2.3086 0.0000
Cl 0.0000 2.3086 2.0052
Cl 2.3086 0.0000 2.0052

=====

Which formula does entry 6 have?
FeBrCl2

=====

Which formula does entry 2 have?
ZrScSb2